No. 1
CoPtCl (SCAN, PBEsol geometry); raw formation energy = 0.079 eV/atom; symmetry = I4mm (107); total DFT energy (no corrections) = -31.746 eV/atom
1.0
2.802 0.000 0.000
0.000 2.802 0.000
-1.401 -1.401 5.882
Pt Cl Co
1 1 1
direct
0.304 0.304 0.608
0.035 0.035 0.069
0.662 0.662 0.323

***

No. 2
CoPt2Cl (SCAN, PBEsol geometry); raw formation energy = 0.194 eV/atom; symmetry = Immm (71); total DFT energy (no corrections) = -41.223 eV/atom
1.0
2.726 0.000 0.000
0.000 4.461 0.000
-1.363 -2.231 4.998
Pt Cl Co
2 1 1
direct
0.275 0.275 0.549
0.725 0.725 0.451
0.500 0.000 0.000
0.000 0.500 0.000

***

No. 3
CoReCl3 (SCAN, PBEsol geometry); raw formation energy = 0.724 eV/atom; symmetry = Pm-3m (221); total DFT energy (no corrections) = -21.743 eV/atom
1.0
-2.140 -2.855 -3.068
-0.200 -3.372 3.277
-4.187 1.620 1.412
Cl Co Re
3 1 1
direct
0.000 0.500 0.000
0.500 0.000 0.000
0.000 0.000 0.500
0.500 0.500 0.500
0.000 0.000 0.000

***

No. 4
CoReCl (SCAN, PBEsol geometry); raw formation energy = 0.531 eV/atom; symmetry = P3m1 (156); total DFT energy (no corrections) = -31.596 eV/atom
1.0
-0.702 2.075 1.767
-1.998 -1.652 -1.095
0.548 -3.645 4.497
Re Co Cl
1 1 1
direct
0.667 0.333 0.348
0.333 0.667 0.666
0.000 0.000 0.986